(1)
## Li2SiRh (GGA-PBEsol)

Data for an optimized crystal structure of Li2SiRh.

a = 2.8325 Å, b = 4.0145 Å, c = 4.3808 Å
α = 90.00°, β = 90.00°, γ = 90.00°
Fractional coordinates of all 4 atoms:
1 Li 0.0000 0.0000 0.0000
2 Li 0.5000 0.5000 0.0000
3 Si 0.0000 0.5000 0.5000
4 Rh 0.5000 0.0000 0.5000

For the total magnetization, the calculation gives 0.00 μB/cell. Its calculated volume is 50 Å³/cell. The calculated total energy comes out at -19.748 eV for the cell shown. The space-group type is Pmmm.

(2)
## PmB3 (GGA-PBEsol)

Data for an optimized crystal structure of PmB3.

a = 5.5421 Å, b = 5.5421 Å, c = 3.4022 Å
α = 90.00°, β = 90.00°, γ = 120.00°
Fractional coordinates of all 8 atoms:
1 Pm 0.3333 0.6667 0.2500
2 Pm 0.6667 0.3333 0.7500
3 B 0.1081 0.2163 0.7500
4 B 0.1081 0.8919 0.7500
5 B 0.2163 0.1081 0.2500
6 B 0.7837 0.8919 0.7500
7 B 0.8919 0.1081 0.2500
8 B 0.8919 0.7837 0.2500

For the total magnetization, the calculation gives 0.00 μB/cell. Its calculated volume is 91 Å³/cell. As for the energy of formation: -0.17 eV/atom. The calculated total energy comes out at -53.700 eV for the cell shown. The space-group type is P6_3/mmc.

(3)
## CuAgRu3 (GGA-PBEsol)

Data for an optimized crystal structure of CuAgRu3.

a = 4.6931 Å, b = 4.6931 Å, c = 4.6931 Å
α = 90.00°, β = 90.00°, γ = 90.00°
Fractional coordinates of all 5 atoms:
1 Cu 0.0000 0.0000 0.0000
2 Ag 0.5000 0.5000 0.5000
3 Ru 0.0000 0.5000 0.5000
4 Ru 0.5000 0.0000 0.5000
5 Ru 0.5000 0.5000 0.0000

For the total magnetization, the calculation gives 5.56 μB/cell. Its calculated volume is 103 Å³/cell. As for the energy of formation: 2.75 eV/atom. The calculated total energy comes out at -24.417 eV for the cell shown. The space-group type is Pm-3m.

(4)
## LaTaTlRe2 (GGA-PBEsol)

Data for an optimized crystal structure of LaTaTlRe2.

a = 4.8251 Å, b = 4.8251 Å, c = 4.9795 Å
α = 90.00°, β = 90.00°, γ = 90.00°
Fractional coordinates of all 5 atoms:
1 La 0.0000 0.0000 0.0000
2 Ta 0.0000 0.0000 0.5000
3 Tl 0.5000 0.5000 0.5000
4 Re 0.0000 0.5000 0.0000
5 Re 0.5000 0.0000 0.0000

For the total magnetization, the calculation gives 1.38 μB/cell. Its calculated volume is 116 Å³/cell. As for the energy of formation: 2.71 eV/atom. The calculated total energy comes out at -33.627 eV for the cell shown. The space-group type is P4/mmm.

(5)
## TlCd2In2 (GGA-PBEsol)

Data for an optimized crystal structure of TlCd2In2.

a = 8.6693 Å, b = 8.6693 Å, c = 3.3271 Å
α = 90.00°, β = 90.00°, γ = 90.00°
Fractional coordinates of all 10 atoms:
1 Tl 0.0000 0.0000 0.0000
2 Tl 0.5000 0.5000 0.0000
3 Cd 0.1653 0.3347 0.5000
4 Cd 0.3347 0.8347 0.5000
5 Cd 0.6653 0.1653 0.5000
6 Cd 0.8347 0.6653 0.5000
7 In 0.1330 0.6330 0.0000
8 In 0.3670 0.1330 0.0000
9 In 0.6330 0.8670 0.0000
10 In 0.8670 0.3670 0.0000

For the total magnetization, the calculation gives 0.00 μB/cell. Its calculated volume is 250 Å³/cell. For the energy above the most stable polymorph in this dataset, the calculation gives 0.0 meV/atom. As for the energy of formation: 0.06 eV/atom. The calculated total energy comes out at -21.342 eV for the cell shown. The space-group type is P4/mbm.

(6)
## KHg2Au (GGA-PBEsol)

Data for an optimized crystal structure of KHg2Au.

a = 5.1057 Å, b = 5.1057 Å, c = 7.5193 Å
α = 90.00°, β = 90.00°, γ = 90.00°
Fractional coordinates of all 8 atoms:
1 K 0.0000 0.0000 0.0000
2 K 0.5000 0.5000 0.5000
3 Hg 0.0000 0.0000 0.5000
4 Hg 0.0000 0.5000 0.7500
5 Hg 0.5000 0.0000 0.2500
6 Hg 0.5000 0.5000 0.0000
7 Au 0.0000 0.5000 0.2500
8 Au 0.5000 0.0000 0.7500

For the total magnetization, the calculation gives 0.00 μB/cell. Its calculated volume is 196 Å³/cell. For the energy above the most stable polymorph in this dataset, the calculation gives 113.0 meV/atom. As for the energy of formation: -0.07 eV/atom. The calculated total energy comes out at -12.911 eV for the cell shown. The space-group type is I-4m2.

(7)
## Eu2AgRh (GGA-PBEsol)

Data for an optimized crystal structure of Eu2AgRh.

a = 7.1090 Å, b = 7.1090 Å, c = 7.1090 Å
α = 90.00°, β = 90.00°, γ = 90.00°
Fractional coordinates of all 16 atoms:
1 Eu 0.2500 0.2500 0.2500
2 Eu 0.2500 0.2500 0.7500
3 Eu 0.2500 0.7500 0.2500
4 Eu 0.2500 0.7500 0.7500
5 Eu 0.7500 0.2500 0.2500
6 Eu 0.7500 0.2500 0.7500
7 Eu 0.7500 0.7500 0.2500
8 Eu 0.7500 0.7500 0.7500
9 Ag 0.0000 0.0000 0.0000
10 Ag 0.0000 0.5000 0.5000
11 Ag 0.5000 0.0000 0.5000
12 Ag 0.5000 0.5000 0.0000
13 Rh 0.0000 0.0000 0.5000
14 Rh 0.0000 0.5000 0.0000
15 Rh 0.5000 0.0000 0.0000
16 Rh 0.5000 0.5000 0.5000

For the total magnetization, the calculation gives 54.90 μB/cell. Its calculated volume is 359 Å³/cell. As for the energy of formation: -0.30 eV/atom. The calculated total energy comes out at -135.062 eV for the cell shown. The space-group type is Fm-3m.

(8)
## LiLaFe2 (GGA-PBEsol)

Data for an optimized crystal structure of LiLaFe2.

a = 3.0728 Å, b = 3.0728 Å, c = 7.5743 Å
α = 90.00°, β = 90.00°, γ = 90.00°
Fractional coordinates of all 4 atoms:
1 Li 0.0000 0.0000 0.0000
2 La 0.5000 0.5000 0.3702
3 Fe 0.0000 0.0000 0.6506
4 Fe 0.5000 0.5000 0.7822

For the total magnetization, the calculation gives 4.62 μB/cell. Its calculated volume is 72 Å³/cell. For the energy above the most stable polymorph in this dataset, the calculation gives 0.0 meV/atom. As for the energy of formation: 0.34 eV/atom. The calculated total energy comes out at -23.898 eV for the cell shown. The space-group type is P4mm.

(9)
## MgFeNiAg2 (GGA-PBEsol)

Data for an optimized crystal structure of MgFeNiAg2.

a = 4.7387 Å, b = 4.7387 Å, c = 4.2482 Å
α = 90.00°, β = 90.00°, γ = 90.00°
Fractional coordinates of all 5 atoms:
1 Mg 0.0000 0.0000 0.0000
2 Fe 0.5000 0.5000 0.5000
3 Ni 0.5000 0.5000 0.0000
4 Ag 0.0000 0.5000 0.5000
5 Ag 0.5000 0.0000 0.5000

For the total magnetization, the calculation gives 3.56 μB/cell. Its calculated volume is 95 Å³/cell. As for the energy of formation: 0.82 eV/atom. The calculated total energy comes out at -19.366 eV for the cell shown. The space-group type is P4/mmm.

(10)
## Mg3Mo (GGA-PBEsol)

Data for an optimized crystal structure of Mg3Mo.

a = 2.9943 Å, b = 4.9619 Å, c = 9.9387 Å
α = 90.00°, β = 90.00°, γ = 90.00°
Fractional coordinates of all 8 atoms:
1 Mg 0.0000 0.0000 0.0000
2 Mg 0.0000 0.5000 0.2419
3 Mg 0.0000 0.5000 0.7581
4 Mg 0.5000 0.0000 0.2581
5 Mg 0.5000 0.0000 0.7419
6 Mg 0.5000 0.5000 0.5000
7 Mo 0.0000 0.0000 0.5000
8 Mo 0.5000 0.5000 0.0000

For the total magnetization, the calculation gives 0.00 μB/cell. Its calculated volume is 148 Å³/cell. For the energy above the most stable polymorph in this dataset, the calculation gives 100.3 meV/atom. As for the energy of formation: 0.41 eV/atom. The calculated total energy comes out at -30.596 eV for the cell shown. The space-group type is Immm.

(11)
## MgIrRh2 (GGA-PBEsol)

Data for an optimized crystal structure of MgIrRh2.

a = 8.9631 Å, b = 2.7395 Å, c = 4.6845 Å
α = 90.00°, β = 99.55°, γ = 90.00°
Fractional coordinates of all 8 atoms:
1 Mg 0.0000 0.0000 0.0000
2 Mg 0.5000 0.5000 0.0000
3 Ir 0.0000 0.5000 0.5000
4 Ir 0.5000 0.0000 0.5000
5 Rh 0.2435 0.0000 0.7391
6 Rh 0.2565 0.5000 0.2609
7 Rh 0.7435 0.5000 0.7391
8 Rh 0.7565 0.0000 0.2609

For the total magnetization, the calculation gives 0.00 μB/cell. Its calculated volume is 113 Å³/cell. As for the energy of formation: -0.16 eV/atom. The calculated total energy comes out at -56.912 eV for the cell shown. The space-group type is C2/m.

(12)
## ZrNi2Ag (GGA-PBEsol)

Data for an optimized crystal structure of ZrNi2Ag.

a = 3.2442 Å, b = 3.2442 Å, c = 5.5382 Å
α = 90.00°, β = 90.00°, γ = 90.00°
Fractional coordinates of all 4 atoms:
1 Zr 0.0000 0.0000 0.0000
2 Ni 0.5000 0.5000 0.2499
3 Ni 0.5000 0.5000 0.7501
4 Ag 0.0000 0.0000 0.5000

For the total magnetization, the calculation gives 0.00 μB/cell. Its calculated volume is 58 Å³/cell. For the energy above the most stable polymorph in this dataset, the calculation gives 19.3 meV/atom. As for the energy of formation: -0.20 eV/atom. The calculated total energy comes out at -25.516 eV for the cell shown. The space-group type is P4/mmm.